# 1
VASP calculation (PBE-GGA) on an optimized crystal structure of SmTmLuHf.

a b c (Å): 5.4327 5.4327 5.4327
angles (deg): 60.00 60.00 60.00
Closest atoms and distances in Å follow each position.
Element x y z (fractional)
Sm (0.0000, 0.0000, 0.0000)  4 Lu 3.33, 4 Tm 3.33
Tm (0.2500, 0.2500, 0.2500)  4 Hf 3.33, 4 Sm 3.33
Lu (0.7500, 0.7500, 0.7500)  4 Sm 3.33, 4 Hf 3.33
Hf (0.5000, 0.5000, 0.5000)  4 Tm 3.33, 4 Lu 3.33

Energy of formation from the pure elements ... 0.272 eV per atom


# 2
VASP calculation (PBE-GGA) on an optimized crystal structure of LuHfSn2.

a b c (Å): 3.2958 3.2958 8.6521
angles (deg): 90.00 90.00 90.00
Closest atoms and distances in Å follow each position.
Element x y z (fractional)
Lu (0.0000, 0.0000, 0.0000)  8 Sn 3.23, 4 Lu 3.30
Hf (0.0000, 0.0000, 0.5000)  8 Sn 3.13, 4 Hf 3.30
Sn (0.5000, 0.5000, 0.2588)  4 Hf 3.13, 4 Lu 3.23, 4 Sn 3.30
Sn (0.5000, 0.5000, 0.7412)  4 Hf 3.13, 4 Lu 3.23, 4 Sn 3.30

ΔE to the lowest computed polymorph ... 0.00 eV/f.u.
Energy of formation from the pure elements ... -0.367 eV per atom


# 3
VASP calculation (PBE-GGA) on an optimized crystal structure of LuHfSn2.

a b c (Å): 4.6513 4.6513 4.3346
angles (deg): 90.00 90.00 90.00
Closest atoms and distances in Å follow each position.
Element x y z (fractional)
Lu (0.0000, 0.0000, 0.0000)  8 Sn 3.18, 4 Hf 3.29
Hf (0.5000, 0.5000, 0.0000)  8 Sn 3.18, 4 Lu 3.29
Sn (0.0000, 0.5000, 0.5000)  4 Hf 3.18, 4 Lu 3.18, 4 Sn 3.29
Sn (0.5000, 0.0000, 0.5000)  4 Hf 3.18, 4 Lu 3.18, 4 Sn 3.29

ΔE to the lowest computed polymorph ... 0.16 eV/f.u.
Energy of formation from the pure elements ... -0.327 eV per atom


# 4
VASP calculation (PBE-GGA) on an optimized crystal structure of LuHfSn2.

a b c (Å): 10.1827 10.1827 10.1827
angles (deg): 18.87 18.87 18.87
Closest atoms and distances in Å follow each position.
Element x y z (fractional)
Lu (0.0000, 0.0000, 0.0000)  6 Sn 3.24, 6 Lu 3.34
Hf (0.5000, 0.5000, 0.5000)  6 Sn 3.08, 6 Hf 3.34
Sn (0.2467, 0.2467, 0.2467)  3 Hf 3.08, 3 Lu 3.24, 6 Sn 3.34
Sn (0.7533, 0.7533, 0.7533)  3 Hf 3.08, 3 Lu 3.24, 6 Sn 3.34

ΔE to the lowest computed polymorph ... 0.41 eV/f.u.
Energy of formation from the pure elements ... -0.263 eV per atom


# 5
VASP calculation (PBE-GGA) on an optimized crystal structure of SrLu2Hf.

a b c (Å): 12.2510 12.2510 12.2510
angles (deg): 16.16 16.16 16.16
Closest atoms and distances in Å follow each position.
Element x y z (fractional)
Sr (0.0000, 0.0000, 0.0000)  6 Sr 3.44, 2 Lu 3.51
Lu (0.0967, 0.0967, 0.0967)  3 Hf 3.22, 6 Lu 3.44, 1 Sr 3.51
Lu (0.9033, 0.9033, 0.9033)  3 Hf 3.22, 6 Lu 3.44, 1 Sr 3.51
Hf (0.5000, 0.5000, 0.5000)  6 Lu 3.22, 6 Hf 3.44

Energy of formation from the pure elements ... 0.307 eV per atom


# 6
VASP calculation (PBE-GGA) on an optimized crystal structure of LuHfTa4.

a b c (Å): 5.6095 5.6095 5.6095
angles (deg): 60.00 60.00 60.00
Closest atoms and distances in Å follow each position.
Element x y z (fractional)
Lu (0.0000, 0.0000, 0.0000)  12 Ta 3.29, 4 Hf 3.44
Hf (0.7500, 0.7500, 0.7500)  12 Ta 3.29, 4 Lu 3.44
Ta (0.3751, 0.3751, 0.3751)  6 Ta 2.80-2.81
Ta (0.3751, 0.3751, 0.8747)  6 Ta 2.80-2.81
Ta (0.3751, 0.8747, 0.3751)  6 Ta 2.80-2.81
Ta (0.8747, 0.3751, 0.3751)  6 Ta 2.80-2.81

Energy of formation from the pure elements ... 0.173 eV per atom


# 7
VASP calculation (PBE-GGA) on an optimized crystal structure of LuHf2Ta.

a b c (Å): 3.6137 3.6137 7.0093
angles (deg): 90.00 90.00 90.00
Closest atoms and distances in Å follow each position.
Element x y z (fractional)
Lu (0.0000, 0.0000, 0.0000)  8 Hf 3.28, 2 Ta 3.50, 4 Lu 3.61
Hf (0.5000, 0.5000, 0.2936)  1 Hf 2.89, 4 Ta 2.94
Hf (0.5000, 0.5000, 0.7064)  1 Hf 2.89, 4 Ta 2.94
Ta (0.0000, 0.0000, 0.5000)  8 Hf 2.94

ΔE to the lowest computed polymorph ... 0.00 eV/f.u.
Energy of formation from the pure elements ... 0.157 eV per atom


# 8
VASP calculation (PBE-GGA) on an optimized crystal structure of LuHf2Ta.

a b c (Å): 11.0644 11.0644 11.0644
angles (deg): 16.34 16.34 16.34
Closest atoms and distances in Å follow each position.
Element x y z (fractional)
Lu (0.0000, 0.0000, 0.0000)  2 Hf 3.10, 6 Lu 3.14
Hf (0.0947, 0.0947, 0.0947)  3 Ta 2.97, 1 Lu 3.10, 6 Hf 3.14
Hf (0.9053, 0.9053, 0.9053)  3 Ta 2.97, 1 Lu 3.10, 6 Hf 3.14
Ta (0.5000, 0.5000, 0.5000)  6 Hf 2.97, 6 Ta 3.14

ΔE to the lowest computed polymorph ... 0.73 eV/f.u.
Energy of formation from the pure elements ... 0.339 eV per atom


# 9
VASP calculation (PBE-GGA) on an optimized crystal structure of TbLuHf.

a b c (Å): 7.7015 7.7015 7.7015
angles (deg): 154.91 154.91 35.78
Closest atoms and distances in Å follow each position.
Element x y z (fractional)
Tb (0.0000, 0.0000, 0.0000)  4 Hf 3.32, 4 Tb 3.35, 4 Lu 3.64
Lu (0.3110, 0.3110, 0.0000)  4 Hf 3.25, 4 Lu 3.35
Hf (0.6588, 0.6588, 0.0000)  4 Lu 3.25, 4 Tb 3.32, 4 Hf 3.35

ΔE to the lowest computed polymorph ... 0.00 eV/f.u.
Energy of formation from the pure elements ... 0.109 eV per atom


# 10
VASP calculation (PBE-GGA) on an optimized crystal structure of Tb2LuHf.

a b c (Å): 4.8377 4.8377 4.7939
angles (deg): 90.00 90.00 90.00
Closest atoms and distances in Å follow each position.
Element x y z (fractional)
Tb (0.0000, 0.5000, 0.0000)  4 Hf 3.41, 4 Lu 3.41, 4 Tb 3.42
Tb (0.5000, 0.0000, 0.0000)  4 Hf 3.41, 4 Lu 3.41, 4 Tb 3.42
Lu (0.0000, 0.0000, 0.5000)  8 Tb 3.41, 4 Hf 3.42
Hf (0.5000, 0.5000, 0.5000)  8 Tb 3.41, 4 Lu 3.42

ΔE to the lowest computed polymorph ... 0.00 eV/f.u.
Energy of formation from the pure elements ... 0.138 eV per atom


# 11
VASP calculation (PBE-GGA) on an optimized crystal structure of TbLu2Hf.

a b c (Å): 3.8915 3.8915 7.4554
angles (deg): 90.00 90.00 90.00
Closest atoms and distances in Å follow each position.
Element x y z (fractional)
Tb (0.0000, 0.0000, 0.0000)  8 Lu 3.46, 2 Hf 3.73
Lu (0.5000, 0.5000, 0.2808)  4 Hf 3.20, 1 Lu 3.27, 4 Tb 3.46
Lu (0.5000, 0.5000, 0.7192)  4 Hf 3.20, 1 Lu 3.27, 4 Tb 3.46
Hf (0.0000, 0.0000, 0.5000)  8 Lu 3.20

ΔE to the lowest computed polymorph ... 0.31 eV/f.u.
Energy of formation from the pure elements ... 0.206 eV per atom


# 12
VASP calculation (PBE-GGA) on an optimized crystal structure of TbLu2Hf.

a b c (Å): 5.4010 5.4010 5.4010
angles (deg): 60.00 60.00 60.00
Closest atoms and distances in Å follow each position.
Element x y z (fractional)
Tb (0.0000, 0.0000, 0.0000)  8 Lu 3.31
Lu (0.2500, 0.2500, 0.2500)  4 Hf 3.31, 4 Tb 3.31
Lu (0.7500, 0.7500, 0.7500)  4 Tb 3.31, 4 Hf 3.31
Hf (0.5000, 0.5000, 0.5000)  8 Lu 3.31

ΔE to the lowest computed polymorph ... 0.53 eV/f.u.
Energy of formation from the pure elements ... 0.262 eV per atom


Mass density (g cm⁻³)
9.85, 10.44, 10.46, 10.16, 8.24, 14.33, 12.93, 12.66, 10.37, 9.94, 10.11, 10.25